# 1
The following is a DFT calculation (PBE) of crystalline NdPu2Ga6 at its relaxed geometry.

Cell: 7.6950 7.6950 7.6950 Å, 146.42 124.28 66.65°
Last column: nearest neighbours and their distance in Å.
Sites, in units of the cell vectors:
Nd 0.0000 0.0000 0.0000  4 Ga 3.15
Pu 0.3821 0.8821 0.5000  6 Ga 2.87-3.02, 1 Pu 3.03
Pu 0.6179 0.1179 0.5000  6 Ga 2.87-3.02, 1 Pu 3.03
Ga 0.0077 0.3122 0.6955  4 Ga 2.55-2.85
Ga 0.3099 0.5000 0.8099  3 Ga 2.55-2.73
Ga 0.3833 0.6878 0.6955  4 Ga 2.55-2.85
Ga 0.6167 0.3122 0.3045  4 Ga 2.55-2.85
Ga 0.6901 0.5000 0.1901  3 Ga 2.55-2.73
Ga 0.9923 0.6878 0.3045  4 Ga 2.55-2.85

- DFT formation energy (meV/atom) = -304
- offset from the most stable computed form (meV/atom) = 142

---

# 2
The following is a DFT calculation (PBE) of crystalline CeDy3Co at its relaxed geometry.

Cell: 5.2792 5.2792 5.2792 Å, 90.00 90.00 90.00°
Last column: nearest neighbours and their distance in Å.
Sites, in units of the cell vectors:
Ce 0.0000 0.0000 0.0000  12 Dy 3.73
Dy 0.0000 0.5000 0.5000  2 Co 2.64
Dy 0.5000 0.0000 0.5000  2 Co 2.64
Dy 0.5000 0.5000 0.0000  2 Co 2.64
Co 0.5000 0.5000 0.5000  6 Dy 2.64

- DFT formation energy (meV/atom) = 57

---

# 3
The following is a DFT calculation (PBE) of crystalline Ce2Tl3Cd3 at its relaxed geometry.

Cell: 4.7536 4.8542 9.2780 Å, 90.00 90.00 90.00°
Last column: nearest neighbours and their distance in Å.
Sites, in units of the cell vectors:
Ce 0.0000 0.0000 0.2487  6 Tl 3.31-3.35, 6 Cd 3.37-3.40
Ce 0.0000 0.0000 0.7513  6 Tl 3.31-3.35, 6 Cd 3.37-3.40
Tl 0.0000 0.5000 0.0000  4 Ce 3.35, 4 Cd 3.37, 4 Tl 3.40
Tl 0.5000 0.0000 0.0000  4 Ce 3.31, 4 Tl 3.40, 4 Cd 3.41
Tl 0.5000 0.0000 0.5000  8 Cd 3.31-3.40, 4 Ce 3.33
Cd 0.0000 0.5000 0.5000  4 Cd 3.27, 4 Ce 3.37, 4 Tl 3.40
Cd 0.5000 0.5000 0.2581  2 Cd 3.27, 6 Tl 3.31-3.41, 4 Ce 3.40
Cd 0.5000 0.5000 0.7419  2 Cd 3.27, 6 Tl 3.31-3.41, 4 Ce 3.40

- DFT formation energy (meV/atom) = -193

---

# 4
The following is a DFT calculation (PBE) of crystalline BaTlF6 at its relaxed geometry.

Cell: 4.2758 7.1839 9.7041 Å, 90.00 90.00 90.00°
Last column: nearest neighbours and their distance in Å.
Sites, in units of the cell vectors:
Ba 0.0000 0.0000 0.0000  8 F 2.60-2.79
Ba 0.0000 0.5000 0.5000  8 F 2.60-2.79
Tl 0.5000 0.0000 0.3809  5 F 2.10-2.25
Tl 0.5000 0.5000 0.8809  5 F 2.10-2.25
F 0.0000 0.0000 0.3072  2 Tl 2.25
F 0.0000 0.1360 0.5767  1 F 1.95
F 0.0000 0.3640 0.0767  1 F 1.95
F 0.0000 0.5000 0.8072  2 Tl 2.25
F 0.0000 0.6360 0.0767  1 F 1.95
F 0.0000 0.8640 0.5767  1 F 1.95
F 0.5000 0.0000 0.1516  1 Tl 2.22
F 0.5000 0.2087 0.8981  1 Tl 2.10
F 0.5000 0.2913 0.3981  1 Tl 2.10
F 0.5000 0.5000 0.6516  1 Tl 2.22
F 0.5000 0.7087 0.3981  1 Tl 2.10
F 0.5000 0.7913 0.8981  1 Tl 2.10

- offset from the most stable computed form (meV/atom) = 46
- formation energy (no corrections) (kJ per mole of atoms) = -219

---

# 5
The following is a DFT calculation (PBE) of crystalline YCo2Ir2 at its relaxed geometry.

Cell: 7.3456 7.3456 2.8015 Å, 90.00 90.00 90.00°
Last column: nearest neighbours and their distance in Å.
Sites, in units of the cell vectors:
Y 0.0000 0.0000 0.0000  2 Y 2.80, 4 Co 2.93, 8 Ir 3.05
Y 0.5000 0.5000 0.0000  2 Y 2.80, 4 Co 2.93, 8 Ir 3.05
Co 0.1186 0.3814 0.0000  1 Co 2.46, 6 Ir 2.56-2.61
Co 0.3814 0.8814 0.0000  1 Co 2.46, 6 Ir 2.56-2.61
Co 0.6186 0.1186 0.0000  1 Co 2.46, 6 Ir 2.56-2.61
Co 0.8814 0.6186 0.0000  1 Co 2.46, 6 Ir 2.56-2.61
Ir 0.1752 0.6752 0.5000  6 Co 2.56-2.61, 2 Ir 2.80
Ir 0.3248 0.1752 0.5000  6 Co 2.56-2.61, 2 Ir 2.80
Ir 0.6752 0.8248 0.5000  6 Co 2.56-2.61, 2 Ir 2.80
Ir 0.8248 0.3248 0.5000  6 Co 2.56-2.61, 2 Ir 2.80

- DFT formation energy (meV/atom) = -128
- offset from the most stable computed form (meV/atom) = 57

---

# 6
The following is a DFT calculation (PBE) of crystalline CaLa2Tb2Pm2 at its relaxed geometry.

Cell: 11.6501 5.2359 8.1962 Å, 90.00 98.49 90.00°
Last column: nearest neighbours and their distance in Å.
Sites, in units of the cell vectors:
Ca 0.0000 0.0000 0.0000  6 Pm 3.67-3.71, 2 La 3.69, 4 Tb 3.74
Ca 0.5000 0.5000 0.0000  6 Pm 3.67-3.71, 2 La 3.69, 4 Tb 3.74
La 0.1446 0.0000 0.4326  3 Pm 3.60-3.70, 5 Tb 3.61-3.72, 3 La 3.65-3.70, 1 Ca 3.69
La 0.3554 0.5000 0.5674  3 Pm 3.60-3.70, 5 Tb 3.61-3.72, 3 La 3.65-3.70, 1 Ca 3.69
La 0.6446 0.5000 0.4326  3 Pm 3.60-3.70, 5 Tb 3.61-3.72, 3 La 3.65-3.70, 1 Ca 3.69
La 0.8554 0.0000 0.5674  3 Pm 3.60-3.70, 5 Tb 3.61-3.72, 3 La 3.65-3.70, 1 Ca 3.69
Tb 0.0754 0.5000 0.7076  1 Tb 3.59, 5 La 3.61-3.72, 4 Pm 3.65-3.77, 2 Ca 3.74
Tb 0.4246 0.0000 0.2924  1 Tb 3.59, 5 La 3.61-3.72, 4 Pm 3.65-3.77, 2 Ca 3.74
Tb 0.5754 0.0000 0.7076  1 Tb 3.59, 5 La 3.61-3.72, 4 Pm 3.65-3.77, 2 Ca 3.74
Tb 0.9246 0.5000 0.2924  1 Tb 3.59, 5 La 3.61-3.72, 4 Pm 3.65-3.77, 2 Ca 3.74
Pm 0.2166 0.5000 0.1448  3 La 3.60-3.70, 4 Tb 3.65-3.77, 3 Ca 3.67-3.71, 2 Pm 3.69
Pm 0.2834 0.0000 0.8552  3 La 3.60-3.70, 4 Tb 3.65-3.77, 3 Ca 3.67-3.71, 2 Pm 3.69
Pm 0.7166 0.0000 0.1448  3 La 3.60-3.70, 4 Tb 3.65-3.77, 3 Ca 3.67-3.71, 2 Pm 3.69
Pm 0.7834 0.5000 0.8552  3 La 3.60-3.70, 4 Tb 3.65-3.77, 3 Ca 3.67-3.71, 2 Pm 3.69

- DFT formation energy (meV/atom) = 59

---

no.,electronic total energy (eV/atom)
1,-6.037
2,-5.312
3,-2.907
4,-4.209
5,-7.807
6,-4.315